Entry 1:
Ba3SnPd3 PBE optimized geometry; density = 6739 kg/m3; energy of formation = -57.6 kJ/mol of atoms; SG = No. 63; density of states at the Fermi level = 5.4 states/eV/f.u.; uncorrected energy = -4.218 eV per atom
1.0
-1.947 -4.158 -0.584
6.275 -0.199 -1.161
2.601 -3.270 14.623
Ba Sn Pd
6 2 6
Cartesian
4.671 -3.936 12.461 Ba
2.258 -3.692 0.417 Ba
3.911 -2.981 8.191 Ba
3.018 -4.647 4.688 Ba
1.002 -4.542 10.669 Ba
5.927 -3.085 2.210 Ba
-0.974 -2.079 -0.292 Sn
0.327 -3.714 7.020 Sn
5.994 -7.038 11.797 Pd
0.935 -0.590 1.081 Pd
5.147 -5.973 7.037 Pd
1.782 -1.654 5.842 Pd
4.267 -5.946 9.774 Pd
2.662 -1.682 3.104 Pd

Entry 2:
Sr2Be2In PBE optimized geometry; density = 3982 kg/m3; energy of formation = 19.3 kJ/mol of atoms; SG = No. 127; density of states at the Fermi level = 2.6 states/eV/f.u.; uncorrected energy = -2.511 eV per atom
1.0
7.466 0.000 0.000
0.000 7.466 0.000
0.000 0.000 4.610
Sr Be In
4 4 2
Cartesian
1.411 5.144 2.305 Sr
5.144 6.054 2.305 Sr
6.054 2.322 2.305 Sr
2.322 1.411 2.305 Sr
2.983 6.715 0.000 Be
6.715 4.483 0.000 Be
4.483 0.750 0.000 Be
0.750 2.983 0.000 Be
0.000 0.000 0.000 In
3.733 3.733 0.000 In

Entry 3:
TlPb8Au2 PBE optimized geometry; density = 11307 kg/m3; energy of formation = -0.6 kJ/mol of atoms; SG = No. 12; density of states at the Fermi level = 4.4 states/eV/f.u.; uncorrected energy = -3.515 eV per atom
1.0
-3.237 3.451 3.173
-5.362 -5.814 -1.179
5.221 -2.171 5.654
Tl Pb Au
1 8 2
Cartesian
-1.618 1.726 1.586 Tl
-4.360 -3.776 5.493 Pb
-1.608 -2.828 7.270 Pb
-1.124 -3.922 3.831 Pb
-4.322 -3.174 2.124 Pb
0.945 -1.360 5.524 Pb
-2.254 -0.612 3.817 Pb
-1.769 -1.706 0.378 Pb
0.982 -0.758 2.155 Pb
1.802 -3.348 3.447 Au
-1.943 -4.637 1.028 Au

Entry 4:
SrHoTlAg PBE optimized geometry; density = 8262 kg/m3; energy of formation = -25.7 kJ/mol of atoms; SG = No. 216; density of states at the Fermi level = 4.7 states/eV/f.u.; uncorrected energy = -3.136 eV per atom
1.0
-0.067 -1.450 -5.238
-2.126 -4.781 -1.469
-4.706 -0.162 -2.714
Sr Tl Ho Ag
1 1 1 1
Cartesian
0.000 0.000 0.000 Sr
-5.174 -4.795 -7.066 Tl
-3.450 -3.197 -4.710 Ho
-1.725 -1.598 -2.355 Ag